Below is a relaxed CaTi2CoO crystal, with properties calculated at the PBE with a Hubbard U level.

The space group is P4/mmm (No. 123) and the conventional cell measures 4.0745, 4.0745 and 5.2763 Å, with angles of 90.00, 90.00 and 90.00 degrees. The inequivalent atoms are Ca at (0.0000, 0.0000, 0.0000), Ti at (0.0000, 0.5000, 0.5000), Co at (0.5000, 0.5000, 0.0000) and O at (0.5000, 0.5000, 0.5000).

The calculated volume comes out at 87.6 Å³ per cell. The mass density comes out at 4.00 g/cm³. The total magnetization is 2.78 Bohr magnetons per cell. The total energy is -5.98 eV/atom.

---

Below is a relaxed Ca2TlCoO6 crystal, with properties calculated at the PBE with a Hubbard U level.

The space group is P4mm (No. 99) and the conventional cell measures 5.4392, 5.4392 and 4.8855 Å, with angles of 90.00, 90.00 and 90.00 degrees. The inequivalent atoms are Ca at (0.0000, 0.5000, 0.0000), Tl at (0.0000, 0.0000, 0.5614), Co at (0.5000, 0.5000, 0.6217), O at (0.0000, 0.0000, 0.1296), O at (0.2715, 0.2715, 0.7334) and O at (0.5000, 0.5000, 0.2785).

The calculated volume comes out at 144.5 Å³ per cell. The mass density comes out at 5.05 g/cm³. The total magnetization is 2.00 Bohr magnetons per cell. The total energy is -5.55 eV/atom.

---

Below is a relaxed CaTm2CoO5 crystal, with properties calculated at the PBE with a Hubbard U level.

The space group is I4/mcm (No. 140) and the conventional cell measures 6.3355, 6.3355 and 11.2799 Å, with angles of 90.00, 90.00 and 90.00 degrees. The inequivalent atoms are Ca at (0.0000, 0.0000, 0.2500), Tm at (0.1737, 0.3263, 0.0000), Co at (0.0000, 0.5000, 0.2500), O at (0.0000, 0.0000, 0.0000) and O at (0.1507, 0.3493, 0.3707).

The calculated volume comes out at 452.8 Å³ per cell. The mass density comes out at 7.58 g/cm³. The total magnetization is 12.06 Bohr magnetons per cell. The total energy is -7.32 eV/atom.

---

Below is a relaxed Ca2UCoO6 crystal, with properties calculated at the PBE with a Hubbard U level.

The space group is P4mm (No. 99) and the conventional cell measures 5.5427, 5.5427 and 4.4171 Å, with angles of 90.00, 90.00 and 90.00 degrees. The inequivalent atoms are Ca at (0.0000, 0.5000, 0.0000), U at (0.0000, 0.0000, 0.5773), Co at (0.5000, 0.5000, 0.6108), O at (0.0000, 0.0000, 0.0873), O at (0.2578, 0.2578, 0.6289) and O at (0.5000, 0.5000, 0.1059).

The calculated volume comes out at 135.7 Å³ per cell. The mass density comes out at 5.79 g/cm³. The total magnetization is 1.00 Bohr magnetons per cell. The total energy is -7.44 eV/atom.

---

Below is a relaxed CaUCoO6 crystal, with properties calculated at the PBE with a Hubbard U level.

The space group is P4_2nm (No. 102) and the conventional cell measures 4.8778, 4.8778 and 9.6772 Å, with angles of 90.00, 90.00 and 90.00 degrees. The inequivalent atoms are Ca at (0.0000, 0.0000, 0.0000), U at (0.0000, 0.0000, 0.6628), Co at (0.0000, 0.0000, 0.3285), O at (0.1715, 0.1715, 0.4821), O at (0.2000, 0.2000, 0.1874) and O at (0.2185, 0.2185, 0.8105).

The calculated volume comes out at 230.2 Å³ per cell. The mass density comes out at 6.25 g/cm³. The total magnetization is 2.00 Bohr magnetons per cell. The total energy is -7.55 eV/atom.

---

Below is a relaxed Ca3V3Co2O12 crystal, with properties calculated at the PBE with a Hubbard U level.

The space group is Ia-3d (No. 230) and the conventional cell measures 12.5771, 12.5771 and 12.5771 Å, with angles of 90.00, 90.00 and 90.00 degrees. The inequivalent atoms are Ca at (0.0000, 0.2500, 0.1250), V at (0.0000, 0.2500, 0.3750), Co at (0.0000, 0.0000, 0.0000) and O at (0.0365, 0.0539, 0.6561).

The calculated volume comes out at 1989.5 Å³ per cell. The mass density comes out at 3.89 g/cm³. The total magnetization is 40.00 Bohr magnetons per cell. The total energy is -7.05 eV/atom.

---

Below is a relaxed Ca2VCoO5 crystal, with properties calculated at the PBE with a Hubbard U level.

The space group is Cmc2_1 (No. 36) and the conventional cell measures 3.1884, 12.9104 and 10.4835 Å, with angles of 90.00, 90.00 and 90.00 degrees. The inequivalent atoms are Ca at (0.0000, 0.0957, 0.0000), Ca at (0.0000, 0.1408, 0.6019), V at (0.0000, 0.2229, 0.3343), Co at (0.0000, 0.4711, 0.7755), O at (0.0000, 0.0746, 0.3705), O at (0.0000, 0.2709, 0.9651), O at (0.0000, 0.2970, 0.7159), O at (0.0000, 0.3665, 0.3242) and O at (0.0000, 0.4940, 0.0979).

The calculated volume comes out at 431.5 Å³ per cell. The mass density comes out at 4.16 g/cm³. The total magnetization is 16.10 Bohr magnetons per cell. The total energy is -6.82 eV/atom.

---

Below is a relaxed Ca2CoWO6 crystal, with properties calculated at the PBE with a Hubbard U level.

The space group is P2_1/c (No. 14) and the conventional cell measures 5.4704, 5.6603 and 9.5081 Å, with angles of 90.00, 124.73 and 90.00 degrees. The inequivalent atoms are Ca at (0.2329, 0.0553, 0.2471), Co at (0.0000, 0.0000, 0.5000), W at (0.5000, 0.0000, 0.0000), O at (0.1654, 0.1932, 0.9542), O at (0.2575, 0.7161, 0.9456) and O at (0.3566, 0.0333, 0.7598).

The calculated volume comes out at 242.0 Å³ per cell. The mass density comes out at 5.75 g/cm³. The total magnetization is 6.02 Bohr magnetons per cell. The total energy is -6.96 eV/atom.

---

Q: What is the calculated volume in the fifth record?
A: 230.2 Å³ per cell